Below is an optimized crystal structure of Sm6ZnS4, with properties calculated at the PBE level.

Cell lengths 4.003, 6.947, 20.549 Å; angles 90.00, 90.00, 106.74 degrees
Element x y z (fractional)
S  0.592  0.185  0.876
S  0.592  0.185  0.624
Sm  0.500  0.000  0.000
S  0.137  0.274  0.459
Sm  0.773  0.546  0.083
Sm  0.957  0.913  0.662
Sm  0.227  0.454  0.583
S  0.408  0.815  0.124
Sm  0.500  0.000  0.500
Sm  0.329  0.658  0.250
Zn  0.341  0.682  0.750
Sm  0.957  0.913  0.838
Sm  0.043  0.087  0.162
S  0.863  0.726  0.959
Sm  0.671  0.342  0.750
S  0.863  0.726  0.541
Sm  0.773  0.546  0.417
Sm  0.227  0.454  0.917
Sm  0.043  0.087  0.338
Zn  0.659  0.318  0.250
S  0.137  0.274  0.041
S  0.408  0.815  0.376

Properties
* DFT total energy: -5.723 eV per atom
* space group: Cmcm, No. 63
* total magnetic moment: 0.3 μB per formula unit
* calculated volume: 24.9 Å³ per atom
* density of states at the Fermi level: 0.6877 states/eV/atom


Below is an optimized crystal structure of Sm3Zn5S12, with properties calculated at the PBE level.

Cell lengths 13.122, 13.122, 13.122 Å; angles 109.47, 109.47, 109.47 degrees
Element x y z (fractional)
S  0.876  0.588  0.911
S  0.124  0.712  0.535
S  0.823  0.912  0.288
S  0.376  0.965  0.788
S  0.788  0.465  0.376
Zn  0.875  0.625  0.750
S  0.788  0.323  0.912
S  0.535  0.212  0.124
S  0.965  0.589  0.177
S  0.035  0.624  0.712
S  0.323  0.788  0.412
S  0.712  0.124  0.035
S  0.624  0.035  0.212
Zn  0.625  0.750  0.875
S  0.288  0.412  0.823
S  0.323  0.535  0.411
Sm  0.750  0.875  0.625
S  0.124  0.412  0.089
S  0.412  0.288  0.323
S  0.912  0.089  0.624
Sm  0.625  0.375  0.750
S  0.412  0.124  0.589
S  0.712  0.588  0.177
S  0.876  0.288  0.465
Zn  0.500  0.000  0.500
Zn  0.125  0.375  0.250
Zn  0.000  0.000  0.000
S  0.212  0.677  0.088
S  0.088  0.177  0.212
S  0.912  0.823  0.788
S  0.288  0.876  0.965
S  0.376  0.411  0.088
S  0.411  0.376  0.588
S  0.965  0.376  0.288
S  0.589  0.965  0.677
Zn  0.750  0.625  0.375
Zn  0.375  0.250  0.125
Zn  0.500  0.000  0.000
Zn  0.875  0.250  0.625
Sm  0.750  0.375  0.125
S  0.589  0.624  0.412
Zn  0.750  0.125  0.875
S  0.823  0.911  0.035
S  0.624  0.589  0.912
S  0.411  0.035  0.323
Zn  0.625  0.875  0.250
Zn  0.000  0.500  0.000
Zn  0.375  0.125  0.750
S  0.212  0.535  0.624
S  0.588  0.712  0.677
S  0.588  0.876  0.411
Zn  0.500  0.500  0.500
Zn  0.125  0.750  0.375
S  0.088  0.911  0.376
Zn  0.000  0.500  0.500
S  0.465  0.788  0.876
Zn  0.500  0.500  0.000
Sm  0.250  0.625  0.875
S  0.089  0.177  0.465
Sm  0.125  0.250  0.875
S  0.465  0.677  0.089
S  0.177  0.089  0.965
Sm  0.250  0.125  0.375
Sm  0.625  0.250  0.375
Zn  0.250  0.375  0.625
S  0.677  0.212  0.588
S  0.535  0.323  0.911
S  0.911  0.088  0.876
Sm  0.875  0.750  0.125
Zn  0.250  0.875  0.125
Sm  0.125  0.875  0.750
S  0.035  0.411  0.823
Sm  0.375  0.750  0.625
Zn  0.000  0.000  0.500
S  0.677  0.465  0.589
S  0.089  0.912  0.124
Sm  0.375  0.625  0.250
S  0.911  0.823  0.535
Sm  0.875  0.125  0.250
S  0.177  0.088  0.712

Properties
* DFT total energy: -4.375 eV per atom
* space group: Ia-3d, No. 230
* total magnetic moment: 0.0 μB per formula unit
* calculated volume: 21.7 Å³ per atom
* density of states at the Fermi level: 0.8960 states/eV/atom


Below is an optimized crystal structure of Sm6ZnS5, with properties calculated at the PBE level.

Cell lengths 7.012, 7.012, 6.991 Å; angles 99.59, 99.59, 119.92 degrees
Element x y z (fractional)
Sm  0.916  0.577  0.747
S  0.334  0.666  0.000
Sm  0.577  0.916  0.747
S  0.834  0.166  0.500
Sm  0.084  0.423  0.253
S  0.166  0.834  0.500
Zn  0.000  0.000  0.000
Sm  0.746  0.746  0.252
Sm  0.254  0.254  0.748
Sm  0.423  0.084  0.253
S  0.666  0.334  0.000
S  0.500  0.500  0.500

Properties
* DFT total energy: -5.918 eV per atom
* space group: C2/m, No. 12
* total magnetic moment: 0.0 μB per formula unit
* calculated volume: 23.4 Å³ per atom
* density of states at the Fermi level: 0.3840 states/eV/atom


Below is an optimized crystal structure of Sm4Zn2S, with properties calculated at the PBE level.

Cell lengths 3.994, 6.803, 7.557 Å; angles 74.62, 74.68, 72.93 degrees
Element x y z (fractional)
Sm  0.328  0.258  0.085
Sm  0.908  0.803  0.380
Zn  0.612  0.449  0.327
Sm  0.092  0.197  0.620
Sm  0.672  0.742  0.915
S  0.000  0.000  0.000
Zn  0.388  0.551  0.673

Properties
* DFT total energy: -4.366 eV per atom
* space group: C2/m, No. 12
* total magnetic moment: 0.0 μB per formula unit
* calculated volume: 26.5 Å³ per atom
* density of states at the Fermi level: 1.0650 states/eV/atom